# TmPu2Sc, relaxed, DFT PBE
# Energy above the lowest structure with this stoichiometry: 0.0000 eV/atom
data_TmPu2Sc
_chemical_formula_sum 'Tm3 Pu6 Sc3'
_cell_length_a 3.3268
_cell_length_b 3.3268
_cell_length_c 33.1144
_cell_angle_alpha 90.00
_cell_angle_beta 90.00
_cell_angle_gamma 120.00
_symmetry_space_group_name_H-M 'R -3 m'
_symmetry_Int_Tables_number 166
_symmetry_space_group_name_Hall '-R 3 2"'
loop_
_atom_site_label
_atom_site_fract_x
_atom_site_fract_y
_atom_site_fract_z
_atom_site_occupancy
Tm1 0.0000 0.0000 0.0000 1
Pu1 0.0000 0.0000 0.2478 1
Sc1 0.0000 0.0000 0.5000 1

# Tm2PuSc6, relaxed, DFT PBE
# Energy above the lowest structure with this stoichiometry: 0.2805 eV/atom
data_Tm2PuSc6
_chemical_formula_sum 'Tm6 Pu3 Sc18'
_cell_length_a 6.8169
_cell_length_b 6.8169
_cell_length_c 17.6497
_cell_angle_alpha 90.00
_cell_angle_beta 90.00
_cell_angle_gamma 120.00
_symmetry_space_group_name_H-M 'R 3 m'
_symmetry_Int_Tables_number 160
_symmetry_space_group_name_Hall 'R 3 -2"'
loop_
_atom_site_label
_atom_site_fract_x
_atom_site_fract_y
_atom_site_fract_z
_atom_site_occupancy
Tm1 0.0000 0.0000 0.0000 1
Tm2 0.0000 0.0000 0.1801 1
Pu1 0.0000 0.0000 0.7414 1
Sc1 0.0118 0.5059 0.1884 1
Sc2 0.0326 0.5163 0.9965 1

Below is a geometry-optimized Tm8PuSc6 structure, with properties calculated at the PBE level.

The structure in CIF format:
```
data_Tm8PuSc6
_chemical_formula_sum 'Tm8 Pu1 Sc6'
_cell_length_a 8.8912
_cell_length_b 8.8912
_cell_length_c 6.3997
_cell_angle_alpha 90.00
_cell_angle_beta 90.00
_cell_angle_gamma 120.00
_symmetry_space_group_name_H-M 'P -3'
_symmetry_Int_Tables_number 147
loop_
_symmetry_equiv_pos_as_xyz
'x,y,z'
'-x,-y,-z'
'-y,x-y,z'
'y,-x+y,-z'
'-x+y,-x,z'
'x-y,x,-z'
loop_
_atom_site_label
_atom_site_fract_x
_atom_site_fract_y
_atom_site_fract_z
_atom_site_occupancy
Tm1 0.0405 0.6909 0.1109 1
Tm2 0.3333 0.6667 0.7655 1
Pu1 0.0000 0.0000 0.5000 1
Sc1 0.0593 0.3866 0.4031 1
```

Below is a geometry-optimized Tm3Pu2Sc4 structure, with properties calculated at the PBE level.

The structure in CIF format:
```
data_Tm3Pu2Sc4
_chemical_formula_sum 'Tm12 Pu8 Sc16'
_cell_length_a 16.820
_cell_length_b 9.267
_cell_length_c 6.595
_cell_angle_alpha 90.00
_cell_angle_beta 111.13
_cell_angle_gamma 90.00
_symmetry_space_group_name_H-M 'C 1 2/c 1'
_symmetry_Int_Tables_number 15
loop_
_symmetry_equiv_pos_as_xyz
'x,y,z'
'-x,-y,-z'
'-x,y,-z+1/2'
'x,-y,z+1/2'
'x+1/2,y+1/2,z'
'-x+1/2,-y+1/2,-z'
'-x+1/2,y+1/2,-z+1/2'
'x+1/2,-y+1/2,z+1/2'
loop_
_atom_site_label
_atom_site_fract_x
_atom_site_fract_y
_atom_site_fract_z
_atom_site_occupancy
Tm1 0.000 0.007 0.250 1
Tm2 0.163 0.484 0.416 1
Pu1 0.172 0.181 0.122 1
Sc1 0.001 0.331 0.998 1
Sc2 0.165 0.151 0.629 1
```

# Tm6PuSc, relaxed, DFT PBE
# Energy above the lowest structure with this stoichiometry: 0.0000 eV/atom
data_Tm6PuSc
_chemical_formula_sum 'Tm12 Pu2 Sc2'
_cell_length_a 5.514
_cell_length_b 6.978
_cell_length_c 12.083
_cell_angle_alpha 90.00
_cell_angle_beta 90.00
_cell_angle_gamma 90.00
_symmetry_space_group_name_H-M 'A m m 2'
_symmetry_Int_Tables_number 38
loop_
_symmetry_equiv_pos_as_xyz
'x,y,z'
'-x,-y,z'
'-x,y,z'
'x,-y,z'
'x,y+1/2,z+1/2'
'-x,-y+1/2,z+1/2'
'-x,y+1/2,z+1/2'
'x,-y+1/2,z+1/2'
loop_
_atom_site_label
_atom_site_fract_x
_atom_site_fract_y
_atom_site_fract_z
_atom_site_occupancy
Tm1 0.000 0.000 0.000 1
Tm2 0.000 0.246 0.250 1
Tm3 0.500 0.000 0.833 1
Tm4 0.500 0.247 0.581 1
Pu1 0.000 0.000 0.497 1
Sc1 0.500 0.000 0.335 1

# Tm2PuSc, relaxed, DFT PBE
# Energy above the lowest structure with this stoichiometry: 0.0250 eV/atom
data_Tm2PuSc
_chemical_formula_sum 'Tm8 Pu4 Sc4'
_cell_length_a 6.874
_cell_length_b 11.919
_cell_length_c 5.460
_cell_angle_alpha 90.00
_cell_angle_beta 90.00
_cell_angle_gamma 90.00
_symmetry_space_group_name_H-M 'C m c m'
_symmetry_Int_Tables_number 63
_symmetry_space_group_name_Hall '-C 2c 2'
loop_
_atom_site_label
_atom_site_fract_x
_atom_site_fract_y
_atom_site_fract_z
_atom_site_occupancy
Tm1 0.249 0.085 0.250 1
Pu1 0.000 0.331 0.250 1
Sc1 0.000 0.168 0.750 1

# TmPuSc6, relaxed, DFT PBE
# Energy above the lowest structure with this stoichiometry: 0.1698 eV/atom
data_TmPuSc6
_chemical_formula_sum 'Tm3 Pu3 Sc18'
_cell_length_a 10.6594
_cell_length_b 10.6594
_cell_length_c 6.2022
_cell_angle_alpha 90.00
_cell_angle_beta 90.00
_cell_angle_gamma 120.00
_symmetry_space_group_name_H-M 'R -3 m'
_symmetry_Int_Tables_number 166
_symmetry_space_group_name_Hall '-R 3 2"'
loop_
_atom_site_label
_atom_site_fract_x
_atom_site_fract_y
_atom_site_fract_z
_atom_site_occupancy
Tm1 0.0000 0.0000 0.0000 1
Pu1 0.0000 0.0000 0.5000 1
Sc1 0.0084 0.5042 0.2507 1

# TmPu2Sc, relaxed, DFT PBE
# Energy above the lowest structure with this stoichiometry: 0.0021 eV/atom
data_TmPu2Sc
_chemical_formula_sum 'Tm1 Pu2 Sc1'
_cell_length_a 3.293
_cell_length_b 3.293
_cell_length_c 9.820
_cell_angle_alpha 90.00
_cell_angle_beta 90.00
_cell_angle_gamma 90.00
_symmetry_space_group_name_H-M 'P 4/m m m'
_symmetry_Int_Tables_number 123
_symmetry_space_group_name_Hall '-P 4 2'
loop_
_atom_site_label
_atom_site_fract_x
_atom_site_fract_y
_atom_site_fract_z
_atom_site_occupancy
Tm1 0.000 0.000 0.000 1
Pu1 0.500 0.500 0.259 1
Sc1 0.000 0.000 0.500 1

Below is a geometry-optimized Tm4PuSc5 structure, with properties calculated at the PBE level.

The structure in CIF format:
```
data_Tm4PuSc5
_chemical_formula_sum 'Tm8 Pu2 Sc10'
_cell_length_a 10.035
_cell_length_b 10.035
_cell_length_c 5.456
_cell_angle_alpha 90.00
_cell_angle_beta 90.00
_cell_angle_gamma 90.00
_symmetry_space_group_name_H-M 'I 4 m m'
_symmetry_Int_Tables_number 107
_symmetry_space_group_name_Hall 'I 4 -2'
loop_
_atom_site_label
_atom_site_fract_x
_atom_site_fract_y
_atom_site_fract_z
_atom_site_occupancy
Tm1 0.000 0.317 0.000 1
Pu1 0.000 0.000 0.722 1
Sc1 0.000 0.000 0.196 1
Sc2 0.184 0.184 0.504 1
```

# TmPuSc3, relaxed, DFT PBE
# Energy above the lowest structure with this stoichiometry: 0.2485 eV/atom
data_TmPuSc3
_chemical_formula_sum 'Tm2 Pu2 Sc6'
_cell_length_a 7.3589
_cell_length_b 7.3589
_cell_length_c 5.6969
_cell_angle_alpha 90.00
_cell_angle_beta 90.00
_cell_angle_gamma 120.00
_symmetry_space_group_name_H-M 'P 63/m m c'
_symmetry_Int_Tables_number 194
_symmetry_space_group_name_Hall '-P 6c 2c'
loop_
_atom_site_label
_atom_site_fract_x
_atom_site_fract_y
_atom_site_fract_z
_atom_site_occupancy
Tm1 0.3333 0.6667 0.2500 1
Pu1 0.0000 0.0000 0.0000 1
Sc1 0.1974 0.3947 0.7500 1

# Tm6PuSc, relaxed, DFT PBE
# Energy above the lowest structure with this stoichiometry: 0.3292 eV/atom
data_Tm6PuSc
_chemical_formula_sum 'Tm12 Pu2 Sc2'
_cell_length_a 6.718
_cell_length_b 11.879
_cell_length_c 6.791
_cell_angle_alpha 90.00
_cell_angle_beta 118.65
_cell_angle_gamma 90.00
_symmetry_space_group_name_H-M 'C 1 2/m 1'
_symmetry_Int_Tables_number 12
loop_
_symmetry_equiv_pos_as_xyz
'x,y,z'
'-x,-y,-z'
'-x,y,-z'
'x,-y,z'
'x+1/2,y+1/2,z'
'-x+1/2,-y+1/2,-z'
'-x+1/2,y+1/2,-z'
'x+1/2,-y+1/2,z'
loop_
_atom_site_label
_atom_site_fract_x
_atom_site_fract_y
_atom_site_fract_z
_atom_site_occupancy
Tm1 0.237 0.217 0.250 1
Tm2 0.243 0.000 0.751 1
Pu1 0.000 0.000 0.000 1
Sc1 0.000 0.500 0.500 1

# Tm2PuSc6, relaxed, DFT PBE
# Energy above the lowest structure with this stoichiometry: 0.0000 eV/atom
data_Tm2PuSc6
_chemical_formula_sum 'Tm4 Pu2 Sc12'
_cell_length_a 17.311
_cell_length_b 3.339
_cell_length_c 8.212
_cell_angle_alpha 90.00
_cell_angle_beta 103.08
_cell_angle_gamma 90.00
_symmetry_space_group_name_H-M 'C 1 2/m 1'
_symmetry_Int_Tables_number 12
loop_
_symmetry_equiv_pos_as_xyz
'x,y,z'
'-x,-y,-z'
'-x,y,-z'
'x,-y,z'
'x+1/2,y+1/2,z'
'-x+1/2,-y+1/2,-z'
'-x+1/2,y+1/2,-z'
'x+1/2,-y+1/2,z'
loop_
_atom_site_label
_atom_site_fract_x
_atom_site_fract_y
_atom_site_fract_z
_atom_site_occupancy
Tm1 0.093 0.000 0.336 1
Pu1 0.000 0.500 0.000 1
Sc1 0.077 0.500 0.671 1
Sc2 0.167 0.000 0.997 1
Sc3 0.239 0.000 0.666 1

no.,formation energy (eV/atom),Fermi-level density of states (states/eV/cell)
1,0.15,47.05
2,0.31,32.57
3,0.28,28.57
4,0.13,83.58
5,0.05,36.21
6,0.12,49.37
7,0.24,49.37
8,0.16,14.07
9,0.22,32.00
10,0.35,17.04
11,0.38,22.42
12,0.03,36.88